(1)
Here is a relaxed Ce2PmSn3 crystal from the Alexandria database. Energies are from GGA-PBE.

Computed properties:
Total DFT energy (no corrections) = -0.387 Ry per atom
DFT formation energy = -493 meV per atom
Energy above the lowest structure with this stoichiometry = 122 meV per atom
Total magnetization = 0.002 μB per atom

Cell lengths 7.7916, 7.7916, 7.7970 Å; angles 99.62, 99.62, 120.33 degrees
Closest atoms and distances in Å follow each position.
Fractional positions:
Ce1 0.0837 0.9163 0.7500  6 Sn 3.14-3.17
Ce2 0.2527 0.7473 0.2500  6 Sn 3.15-3.18
Ce3 0.7473 0.2527 0.7500  6 Sn 3.15-3.18
Ce4 0.9163 0.0837 0.2500  6 Sn 3.14-3.17
Pm1 0.4189 0.5811 0.7500  6 Sn 3.20-3.21
Pm2 0.5811 0.4189 0.2500  6 Sn 3.20-3.21
Sn1 0.0000 0.5000 0.5000  4 Ce 3.17-3.18, 2 Pm 3.20
Sn2 0.1565 0.3272 0.9972  4 Ce 3.14-3.17, 2 Pm 3.21
Sn3 0.3272 0.1565 0.4972  4 Ce 3.14-3.17, 2 Pm 3.21
Sn4 0.5000 0.0000 0.0000  4 Ce 3.17-3.18, 2 Pm 3.20
Sn5 0.6728 0.8435 0.5028  4 Ce 3.14-3.17, 2 Pm 3.21
Sn6 0.8435 0.6728 0.0028  4 Ce 3.14-3.17, 2 Pm 3.21

---

(2)
Here is a relaxed CePm3Sn4 crystal from the Alexandria database. Energies are from GGA-PBE.

Computed properties:
Total DFT energy (no corrections) = -0.386 Ry per atom
DFT formation energy = -732 meV per atom
Total magnetization = 0.123 μB per atom

Cell lengths 4.3857, 4.6444, 11.7087 Å; angles 90.00, 90.00, 90.00 degrees
Closest atoms and distances in Å follow each position.
Fractional positions:
Ce1 0.0000 0.0000 0.0000  7 Sn 3.22-3.52
Pm1 0.0000 0.5000 0.4990  7 Sn 3.20-3.52
Pm2 0.5000 0.0000 0.2699  7 Sn 3.22-3.51
Pm3 0.5000 0.5000 0.7702  7 Sn 3.22-3.52
Sn1 0.0000 0.0000 0.7247  2 Sn 3.04, 1 Ce 3.22, 4 Pm 3.24
Sn2 0.0000 0.5000 0.2256  2 Sn 3.05, 5 Pm 3.20-3.24
Sn3 0.5000 0.0000 0.5445  2 Sn 3.04, 5 Pm 3.22-3.24
Sn4 0.5000 0.5000 0.0450  2 Sn 3.05, 1 Pm 3.22, 4 Ce 3.24

---

(3)
Here is a relaxed Ce8PmSn6 crystal from the Alexandria database. Energies are from GGA-PBE.

Computed properties:
Total DFT energy (no corrections) = -0.402 Ry per atom
DFT formation energy = -385 meV per atom
Total magnetization = 0.643 μB per atom

Cell lengths 8.4576, 8.4576, 8.4576 Å; angles 67.61, 67.61, 67.61 degrees
Closest atoms and distances in Å follow each position.
Fractional positions:
Ce1 0.0639 0.4043 0.7415  5 Sn 3.17-3.24
Ce2 0.1658 0.1658 0.1658  6 Sn 3.43-3.45, 6 Ce 3.63-3.64
Ce3 0.2585 0.9361 0.5957  5 Sn 3.17-3.24
Ce4 0.4043 0.7415 0.0639  5 Sn 3.17-3.24
Ce5 0.5957 0.2585 0.9361  5 Sn 3.17-3.24
Ce6 0.7415 0.0639 0.4043  5 Sn 3.17-3.24
Ce7 0.8342 0.8342 0.8342  6 Sn 3.43-3.45, 6 Ce 3.63-3.64
Ce8 0.9361 0.5957 0.2585  5 Sn 3.17-3.24
Pm1 0.5000 0.5000 0.5000  6 Sn 3.38, 6 Ce 3.70
Sn1 0.1013 0.7591 0.4295  7 Ce 3.17-3.45, 1 Pm 3.38
Sn2 0.2409 0.5705 0.8987  7 Ce 3.17-3.45, 1 Pm 3.38
Sn3 0.4295 0.1013 0.7591  7 Ce 3.17-3.45, 1 Pm 3.38
Sn4 0.5705 0.8987 0.2409  7 Ce 3.17-3.45, 1 Pm 3.38
Sn5 0.7591 0.4295 0.1013  7 Ce 3.17-3.45, 1 Pm 3.38
Sn6 0.8987 0.2409 0.5705  7 Ce 3.17-3.45, 1 Pm 3.38

---

Question: Which formula does entry 2 have?
Answer: CePm3Sn4

---

What did the first record say?
Here is a relaxed Ce2PmSn3 crystal from the Alexandria database. Energies are from GGA-PBE.

Computed properties:
Total DFT energy (no corrections) = -0.387 Ry per atom
DFT formation energy = -493 meV per atom
Energy above the lowest structure with this stoichiometry = 122 meV per atom
Total magnetization = 0.002 μB per atom

Cell lengths 7.7916, 7.7916, 7.7970 Å; angles 99.62, 99.62, 120.33 degrees
Closest atoms and distances in Å follow each position.
Fractional positions:
Ce1 0.0837 0.9163 0.7500  6 Sn 3.14-3.17
Ce2 0.2527 0.7473 0.2500  6 Sn 3.15-3.18
Ce3 0.7473 0.2527 0.7500  6 Sn 3.15-3.18
Ce4 0.9163 0.0837 0.2500  6 Sn 3.14-3.17
Pm1 0.4189 0.5811 0.7500  6 Sn 3.20-3.21
Pm2 0.5811 0.4189 0.2500  6 Sn 3.20-3.21
Sn1 0.0000 0.5000 0.5000  4 Ce 3.17-3.18, 2 Pm 3.20
Sn2 0.1565 0.3272 0.9972  4 Ce 3.14-3.17, 2 Pm 3.21
Sn3 0.3272 0.1565 0.4972  4 Ce 3.14-3.17, 2 Pm 3.21
Sn4 0.5000 0.0000 0.0000  4 Ce 3.17-3.18, 2 Pm 3.20
Sn5 0.6728 0.8435 0.5028  4 Ce 3.14-3.17, 2 Pm 3.21
Sn6 0.8435 0.6728 0.0028  4 Ce 3.14-3.17, 2 Pm 3.21

---

Question: Which of these has the highest DFT formation energy?
Answer: Ce8PmSn6

---

Question: Number 3 is which compound?
Answer: Ce8PmSn6